Record 1
Material: CeSm5Hg6
Method: DFT, PBE
State: relaxed

Its energy relative to the elements is -5.3 eV/f.u. For the spin magnetization, the calculation gives 3.5 μB per formula unit. As for the energy: -36.6 eV for the cell shown. Its crystal system is monoclinic.

```
CeSm5Hg6
1.0
5.245 0.002 -1.103
-0.003 7.649 -0.001
-0.988 0.000 8.433
Sm Ce Hg
5 1 6
Direct
0.665 0.500 0.331 Sm
0.335 0.000 0.668 Sm
0.000 0.500 0.000 Sm
0.665 0.000 0.332 Sm
0.335 0.500 0.669 Sm
0.000 0.000 0.000 Ce
0.833 0.748 0.663 Hg
0.833 0.252 0.663 Hg
0.500 0.253 0.000 Hg
0.500 0.747 0.000 Hg
0.167 0.748 0.337 Hg
0.167 0.252 0.337 Hg
```

---

Record 2
Material: NaCo2RhN
Method: DFT, PBE
State: relaxed

For the spin magnetization, the calculation gives 2.2 μB per formula unit. As for the energy: -30.0 eV for the cell shown. Its crystal system is tetragonal.

```
NaCo2RhN
1.0
-0.048 -3.257 -1.999
3.549 0.705 -1.233
1.541 -2.031 3.273
Co N Rh Na
2 1 1 1
Direct
0.000 0.500 0.000 Co
0.500 0.000 0.000 Co
0.000 0.000 0.000 N
0.000 0.000 0.500 Rh
0.500 0.500 0.500 Na
```

---

Record 3
Material: RbDyHgCl6
Method: DFT, PBE
State: relaxed

For the spin magnetization, the calculation gives 0.0 μB per formula unit. As for the energy: -63.9 eV for the cell shown. Its crystal system is trigonal.

```
RbDyHgCl6
1.0
-6.184 -3.341 0.213
5.932 -3.486 1.454
-1.391 3.467 13.982
Rb Dy Hg Cl
2 2 2 12
Direct
0.000 0.000 0.000 Rb
0.000 0.000 0.500 Rb
0.667 0.333 0.250 Dy
0.333 0.667 0.750 Dy
0.333 0.667 0.250 Hg
0.667 0.333 0.750 Hg
0.626 0.619 0.143 Cl
0.993 0.374 0.143 Cl
0.374 0.993 0.643 Cl
0.007 0.626 0.857 Cl
0.381 0.374 0.357 Cl
0.993 0.619 0.357 Cl
0.619 0.993 0.857 Cl
0.626 0.007 0.357 Cl
0.007 0.381 0.643 Cl
0.381 0.007 0.143 Cl
0.619 0.626 0.643 Cl
0.374 0.381 0.857 Cl
```

---

Record 4
Material: OsW4
Method: DFT, PBE
State: relaxed

Its energy relative to the elements is 7.2 eV/f.u. For the spin magnetization, the calculation gives 0.0 μB per formula unit. As for the energy: -55.8 eV for the cell shown. Its energy relative to the lowest polymorph listed for this composition is 1312 meV/atom. Its crystal system is tetragonal.

```
OsW4
1.0
0.734 -5.155 3.490
3.759 -0.508 4.991
-4.396 3.680 -2.535
Os W
1 4
Direct
0.000 0.000 0.000 Os
0.250 0.750 0.500 W
0.610 0.610 0.000 W
0.390 0.390 0.000 W
0.750 0.250 0.500 W
```

---

Record 5
Material: AlZnW2
Method: DFT, PBE
State: relaxed

Its energy relative to the elements is 1.0 eV/f.u. For the spin magnetization, the calculation gives 0.0 μB per formula unit. As for the energy: -30.0 eV for the cell shown. Its energy relative to the lowest polymorph listed for this composition is 177 meV/atom. Its crystal system is tetragonal.

```
AlZnW2
1.0
-1.428 -1.371 -1.865
0.734 -2.347 1.162
-6.820 0.332 4.976
Zn Al W
1 1 2
Direct
0.000 0.000 0.503 Zn
0.500 0.500 0.749 Al
0.000 0.000 0.990 W
0.500 0.500 0.257 W
```

---

Record 6
Material: PuTcB4
Method: DFT, PBE
State: relaxed

Its energy relative to the elements is -1.9 eV/f.u. For the spin magnetization, the calculation gives 4.6 μB per formula unit. As for the energy: -53.4 eV for the cell shown. Its energy relative to the lowest polymorph listed for this composition is 213 meV/atom. Its crystal system is orthorhombic.

```
PuTcB4
1.0
3.535 -0.002 0.000
0.001 3.068 0.000
0.000 0.000 5.648
Pu Tc B
1 1 4
Direct
0.999 0.997 0.498 Pu
0.999 0.497 0.998 Tc
0.499 0.997 0.152 B
0.499 0.997 0.844 B
0.499 0.497 0.708 B
0.499 0.497 0.288 B
```